1.
Material: LiPu4F10
Method: DFT, GGA-PBE
State: optimized geometry

abc: 5.7287 7.0383 7.0383
angles: 80.47 65.99 65.99
Each line ends with the local moment (μB).
Atoms (fractional coordinates):
F  0.5592  0.1007  0.2919  -0.01
Pu  0.7938  0.6012  0.8112  5.58
F  0.8511  0.7081  0.1007  -0.01
F  0.0482  0.1007  0.2919  -0.01
F  0.4408  0.8993  0.7081  -0.01
Li  0.0000  0.0000  0.0000  0.00
F  0.6599  0.2919  0.8993  -0.01
F  0.2500  0.5000  0.5000  0.00
F  0.3401  0.7081  0.1007  -0.01
Pu  0.6050  0.1888  0.6012  5.58
F  0.7500  0.5000  0.5000  0.00
F  0.9518  0.8993  0.7081  -0.01
Pu  0.2062  0.3988  0.1888  5.58
F  0.1489  0.2919  0.8993  -0.01
Pu  0.3950  0.8112  0.3988  5.58

Summary:
Space-group type: I4/m
Magnetic moment in Bohr magnetons per cell: 23.0
E_tot in eV/atom: -8.424
V in A^3/atom: 15.8



2.
Material: LiPuF6
Method: DFT, GGA-PBE
State: optimized geometry

abc: 5.2176 5.2176 9.7180
angles: 90.00 90.00 120.00
Each line ends with the local moment (μB).
Atoms (fractional coordinates):
F  0.3346  0.3135  0.8750  -0.04
F  0.6654  0.6865  0.1250  -0.04
Pu  0.3333  0.6667  0.2500  3.25
F  0.3135  0.9788  0.1250  -0.04
Li  0.0000  0.0000  0.5000  0.00
F  0.9788  0.3135  0.6250  -0.04
F  0.6865  0.6654  0.6250  -0.04
F  0.6654  0.9788  0.3750  -0.04
F  0.0212  0.3346  0.1250  -0.04
F  0.0212  0.6865  0.3750  -0.04
F  0.6865  0.0212  0.8750  -0.04
F  0.3135  0.3346  0.3750  -0.04
F  0.3346  0.0212  0.6250  -0.04
F  0.9788  0.6654  0.8750  -0.04
Li  0.0000  0.0000  0.0000  0.00
Pu  0.6667  0.3333  0.7500  3.25

Summary:
Space-group type: P-31c
Magnetic moment in Bohr magnetons per cell: 6.0
E_tot in eV/atom: -6.555
V in A^3/atom: 14.3
Offset from the most stable computed form in meV/atom: 13.8



3.
Material: Li3PuF8
Method: DFT, GGA-PBE
State: optimized geometry

abc: 5.0413 5.0413 6.1321
angles: 90.00 90.00 120.00
Each line ends with the local moment (μB).
Atoms (fractional coordinates):
Li  0.3333  0.6667  0.1926  0.00
F  0.7251  0.0097  0.2172  -0.05
F  0.7154  0.7251  0.7828  -0.05
Li  0.6667  0.3333  0.8074  0.00
F  0.6667  0.3333  0.5056  -0.18
F  0.3333  0.6667  0.4944  -0.18
F  0.2749  0.9903  0.7828  -0.05
Li  0.0000  0.0000  0.0000  0.00
F  0.0097  0.2846  0.7828  -0.05
F  0.2846  0.2749  0.2172  -0.05
Pu  0.0000  0.0000  0.5000  3.68
F  0.9903  0.7154  0.2172  -0.05

Summary:
Space-group type: P-3
Magnetic moment in Bohr magnetons per cell: 3.0
E_tot in eV/atom: -5.655
V in A^3/atom: 11.2
Offset from the most stable computed form in meV/atom: 249.4



4.
Material: LiPuF2
Method: DFT, GGA-PBE
State: optimized geometry

abc: 3.2126 3.2126 6.9568
angles: 76.65 76.65 60.00
Each line ends with the local moment (μB).
Atoms (fractional coordinates):
F  0.8864  0.8864  0.3409  0.00
F  0.1136  0.1136  0.6591  0.00
Pu  0.0000  0.0000  0.0000  5.20
Li  0.5000  0.5000  0.5000  0.00

Summary:
Space-group type: R-3m
Magnetic moment in Bohr magnetons per cell: 5.4
E_tot in eV/atom: -7.408
V in A^3/atom: 15.0



5.
Material: LiPu2F6
Method: DFT, GGA-PBE
State: optimized geometry

abc: 4.3760 4.3760 8.5210
angles: 104.88 104.88 90.00
Each line ends with the local moment (μB).
Atoms (fractional coordinates):
Li  0.5000  0.5000  0.0000  0.00
F  0.7500  0.2500  0.5000  -0.01
F  0.1978  0.1978  0.8394  -0.01
F  0.8022  0.3584  0.1606  -0.01
F  0.2500  0.7500  0.5000  -0.01
Pu  0.1661  0.1661  0.3322  5.40
Pu  0.8339  0.8339  0.6678  5.40
F  0.6416  0.6416  0.8394  -0.01
F  0.3584  0.8022  0.1606  -0.01

Summary:
Space-group type: I-42m
Magnetic moment in Bohr magnetons per cell: 11.0
E_tot in eV/atom: -7.805
V in A^3/atom: 16.9
Offset from the most stable computed form in meV/atom: 153.1



6.
Material: Li3PuF9
Method: DFT, GGA-PBE
State: optimized geometry

abc: 7.9300 8.3484 9.5535
angles: 71.25 65.48 61.64
Each line ends with the local moment (μB).
Atoms (fractional coordinates):
Li  0.2160  0.4754  0.3200  0.00
Li  0.0096  0.0282  0.1691  0.00
F  0.9101  0.3080  0.1602  -0.05
F  0.2709  0.2938  0.9014  -0.05
Li  0.5426  0.2496  0.7434  0.00
Li  0.9886  0.9754  0.8200  0.00
F  0.8804  0.4875  0.8508  -0.04
F  0.7671  0.0536  0.7646  0.21
F  0.2179  0.0149  0.6394  -0.04
F  0.4646  0.2086  0.5889  -0.05
F  0.6216  0.8080  0.6602  -0.05
F  0.2369  0.9391  0.2197  0.21
Li  0.4644  0.7496  0.2434  0.00
F  0.7379  0.7086  0.0889  -0.05
F  0.0990  0.6934  0.8304  -0.05
F  0.6043  0.4391  0.7197  0.21
F  0.4147  0.5536  0.2646  0.21
F  0.7813  0.9875  0.3508  -0.04
Li  0.7931  0.5282  0.6691  0.00
F  0.1278  0.5149  0.1394  -0.04
F  0.9962  0.0043  0.9948  0.16
F  0.5339  0.7938  0.4014  -0.05
F  0.3772  0.1934  0.3304  -0.05
Pu  0.4997  0.0010  0.4952  2.96
F  0.0048  0.5043  0.4948  0.16
Pu  0.0041  0.5010  0.9952  2.96

Summary:
Space-group type: Cc
Magnetic moment in Bohr magnetons per cell: 6.7
E_tot in eV/atom: -5.589
V in A^3/atom: 19.2



7.
Material: Li2PuF4
Method: DFT, GGA-PBE
State: optimized geometry

abc: 6.2482 6.5128 6.5128
angles: 62.36 61.34 61.34
Each line ends with the local moment (μB).
Atoms (fractional coordinates):
Li  0.1391  0.1109  0.6109  0.00
Li  0.8609  0.8891  0.3891  0.00
F  0.2790  0.1895  0.2525  0.01
F  0.2790  0.7525  0.6895  0.01
Li  0.5000  0.5000  0.5000  0.00
Li  0.5000  0.0000  0.0000  0.00
Pu  0.5000  0.5000  0.0000  5.75
F  0.7210  0.2475  0.3105  0.01
F  0.7470  0.2450  0.7450  0.00
F  0.7370  0.7550  0.2550  0.00
F  0.2630  0.2450  0.7450  0.00
F  0.2530  0.7550  0.2550  0.00
F  0.7210  0.8105  0.7475  0.01
Pu  0.0000  0.5000  0.0000  5.75

Summary:
Space-group type: Imma
Magnetic moment in Bohr magnetons per cell: 12.0
E_tot in eV/atom: -6.532
V in A^3/atom: 13.9



8.
Material: LiPu2F4
Method: DFT, GGA-PBE
State: optimized geometry

abc: 7.7525 5.1191 7.6981
angles: 90.00 130.70 90.00
Each line ends with the local moment (μB).
Atoms (fractional coordinates):
F  0.5946  0.9998  0.4066  -0.01
Li  0.3815  0.7500  0.3805  0.02
F  0.3554  0.7500  0.9447  -0.01
F  0.9467  0.7500  0.3583  -0.01
F  0.0533  0.2500  0.6417  -0.01
F  0.6446  0.2500  0.0553  -0.01
Pu  0.3288  0.2500  0.0614  5.64
Li  0.6185  0.2500  0.6195  0.02
Pu  0.6712  0.7500  0.9386  5.64
Pu  0.0628  0.2500  0.3258  5.64
F  0.4054  0.0002  0.5934  -0.01
Pu  0.9372  0.7500  0.6742  5.64
F  0.5946  0.5002  0.4066  -0.01
F  0.4054  0.4998  0.5934  -0.01

Summary:
Space-group type: P2_1/m
Magnetic moment in Bohr magnetons per cell: 23.7
E_tot in eV/atom: -8.074
V in A^3/atom: 16.5